A plane-wave DFT calculation with PBE-GGA was carried out for a relaxed structure of CuTc2MoH.

Results
Space group: No. 123
DOS(E_F) in states/eV/atom: 0.496
Energy above the lowest structure with this stoichiometry in meV per atom: 0
Raw total energy in eV per atom: -7.6387
Size of the total moment in μB per cell: 0.00

Unit cell a=3.9940 b=3.9940 c=3.6992 alpha=90.00 beta=90.00 gamma=90.00
Closest atoms and distances in Å follow each position.
Element x y z (fractional)
Tc1 0.0000 0.5000 0.0000  2 H 2.00
Tc2 0.5000 0.0000 0.0000  2 H 2.00
Cu1 0.0000 0.0000 0.5000  2 H 1.85
Mo1 0.5000 0.5000 0.5000  8 Tc 2.72, 4 Cu 2.82
H1 0.0000 0.0000 0.0000  2 Cu 1.85, 4 Tc 2.00

***

A plane-wave DFT calculation with PBE-GGA was carried out for a relaxed structure of Mn2OsPt.

Results
Space group: No. 12
DOS(E_F) in states/eV/atom: 0.939
Raw total energy in eV per atom: -8.8492
Size of the total moment in μB per cell: 5.64

Unit cell a=4.5351 b=4.5351 c=4.8048 alpha=80.84 beta=80.84 gamma=35.07
Closest atoms and distances in Å follow each position.
Element x y z (fractional)
Pt1 0.2500 0.2500 0.2500  6 Mn 2.66-2.70, 2 Pt 2.73, 4 Os 2.76
Mn1 0.4982 0.4982 0.5114  3 Os 2.62-2.64, 3 Pt 2.66-2.70, 6 Mn 2.67-2.86
Mn2 0.0018 0.0018 0.9886  3 Os 2.62-2.64, 3 Pt 2.66-2.70, 6 Mn 2.67-2.86
Os1 0.7500 0.7500 0.7500  6 Mn 2.62-2.64, 2 Os 2.73, 4 Pt 2.76

***

A plane-wave DFT calculation with PBE-GGA was carried out for a relaxed structure of Tl2CdBi.

Results
Space group: No. 74
DOS(E_F) in states/eV/atom: 0.518
Energy above the lowest structure with this stoichiometry in meV per atom: 11
Raw total energy in eV per atom: -2.3579
Size of the total moment in μB per cell: 0.00

Unit cell a=6.6870 b=7.1121 c=7.1121 alpha=56.24 beta=61.96 gamma=61.96
Closest atoms and distances in Å follow each position.
Element x y z (fractional)
Bi1 0.7500 0.2375 0.2625  4 Cd 3.23-3.47, 8 Tl 3.53-3.59
Bi2 0.2500 0.7625 0.7375  4 Cd 3.23-3.47, 8 Tl 3.53-3.59
Cd1 0.7500 0.7551 0.7449  4 Bi 3.23-3.47, 8 Tl 3.50-3.61
Cd2 0.2500 0.2449 0.2551  4 Bi 3.23-3.47, 8 Tl 3.50-3.61
Tl1 0.7589 0.7411 0.2411  4 Tl 3.34-3.36, 4 Cd 3.50-3.61, 4 Bi 3.53-3.59
Tl2 0.7411 0.2589 0.7589  4 Tl 3.34-3.36, 4 Cd 3.50-3.61, 4 Bi 3.53-3.59
Tl3 0.2411 0.2589 0.7589  4 Tl 3.34-3.36, 4 Cd 3.50-3.61, 4 Bi 3.53-3.59
Tl4 0.2589 0.7411 0.2411  4 Tl 3.34-3.36, 4 Cd 3.50-3.61, 4 Bi 3.53-3.59

***

A plane-wave DFT calculation with PBE-GGA was carried out for a relaxed structure of PaTeH.

Results
Space group: No. 12
DOS(E_F) in states/eV/atom: 0.401
Raw total energy in eV per atom: -5.7038
Size of the total moment in μB per cell: 0.00

Unit cell a=4.0825 b=6.0988 c=7.4425 alpha=129.97 beta=105.92 gamma=90.00
Closest atoms and distances in Å follow each position.
Element x y z (fractional)
Te1 0.8228 0.8596 0.6456  3 H 3.12-3.20, 5 Pa 3.16-3.20
Te2 0.1772 0.1404 0.3544  3 H 3.12-3.20, 5 Pa 3.16-3.20
H1 0.4754 0.6645 0.9508  2 Pa 2.20
H2 0.5246 0.3355 0.0492  2 Pa 2.20
Pa1 0.9081 0.4969 0.8161  2 H 2.20
Pa2 0.0919 0.5031 0.1839  2 H 2.20

***

A plane-wave DFT calculation with PBE-GGA was carried out for a relaxed structure of CsSc2TiBr8.

Results
Space group: No. 148
DOS(E_F) in states/eV/atom: 0.289
Raw formation energy in eV/atom: -1.42
Raw total energy in eV per atom: -4.3191
Size of the total moment in μB per cell: 3.05

Unit cell a=6.9950 b=6.9950 c=10.8880 alpha=71.26 beta=71.26 gamma=60.00
Closest atoms and distances in Å follow each position.
Element x y z (fractional)
Br1 0.8203 0.8203 0.5390  1 Sc 2.52
Br2 0.6426 0.2739 0.1554  1 Sc 2.56, 1 Ti 2.71
Br3 0.2739 0.9281 0.1554  1 Sc 2.56, 1 Ti 2.71
Br4 0.0719 0.3574 0.8446  1 Sc 2.56, 1 Ti 2.71
Br5 0.1797 0.1797 0.4610  1 Sc 2.52
Br6 0.7261 0.0719 0.8446  1 Sc 2.56, 1 Ti 2.71
Br7 0.9281 0.6426 0.1554  1 Sc 2.56, 1 Ti 2.71
Br8 0.3574 0.7261 0.8446  1 Sc 2.56, 1 Ti 2.71
Sc1 0.7374 0.7374 0.7878  4 Br 2.52-2.56
Sc2 0.2626 0.2626 0.2122  4 Br 2.52-2.56
Cs1 0.5000 0.5000 0.5000  12 Br 4.06-4.17
Ti1 0.0000 0.0000 0.0000  6 Br 2.71

***

A plane-wave DFT calculation with PBE-GGA was carried out for a relaxed structure of Cs2La4F.

Results
Space group: No. 139
DOS(E_F) in states/eV/atom: 1.183
Raw formation energy in eV/atom: -0.18
Raw total energy in eV per atom: -3.5102
Size of the total moment in μB per cell: 0.00

Unit cell a=5.4106 b=5.4106 c=11.2657 alpha=76.11 beta=76.11 gamma=90.00
Closest atoms and distances in Å follow each position.
Element x y z (fractional)
La1 0.5000 0.0000 0.0000  2 F 2.71
La2 0.8848 0.8848 0.2304  1 F 2.44
La3 0.1152 0.1152 0.7696  1 F 2.44
La4 0.0000 0.5000 0.0000  2 F 2.71
Cs1 0.6753 0.6753 0.6495  5 La 4.03-4.44
Cs2 0.3247 0.3247 0.3505  5 La 4.03-4.44
F1 0.0000 0.0000 0.0000  6 La 2.44-2.71